# 1
First-principles (PBE) data for a relaxed structure of CeLuCuAg, as listed in Alexandria.

**Magnetic moment**: 0.6 Bohr magnetons per cell
**Energy relative to the elements**: -0.139 eV/atom

abc: 5.0529 5.0529 5.0529
angles: 60.00 60.00 60.00
Closest atoms and distances in Å follow each position.
Sites, in units of the cell vectors:
Lu 0.0000 0.0000 0.0000  4 Cu 3.09, 4 Ag 3.09
Ag 0.7500 0.7500 0.7500  4 Ce 3.09, 4 Lu 3.09
Ce 0.5000 0.5000 0.5000  4 Cu 3.09, 4 Ag 3.09
Cu 0.2500 0.2500 0.2500  4 Lu 3.09, 4 Ce 3.09

***

# 2
First-principles (PBE) data for a relaxed structure of TlC3, as listed in Alexandria.

**E above lowest polymorph**: 0.746 eV/atom
**Magnetic moment**: 0.6 Bohr magnetons per cell
**Energy relative to the elements**: 1.526 eV/atom

abc: 4.7291 4.7291 4.7291
angles: 135.87 106.37 90.02
Closest atoms and distances in Å follow each position.
Sites, in units of the cell vectors:
Tl 0.0000 0.5417 0.5417  4 C 2.34
C 0.2692 0.0417 0.3109  1 C 1.31
C 0.7308 0.0417 0.7725  1 C 1.31
C 0.5000 0.0417 0.5417  2 C 1.31

***

# 3
First-principles (PBE) data for a relaxed structure of MgMo2PtN, as listed in Alexandria.

**Magnetic moment**: 0.0 Bohr magnetons per cell
**Formation energy from raw total energies**: -299 meV per atom

abc: 4.0413 4.3460 4.0413
angles: 90.00 90.00 90.00
Closest atoms and distances in Å follow each position.
Sites, in units of the cell vectors:
Mo 0.0000 0.0000 0.5000  2 N 2.02
Mo 0.5000 0.0000 0.0000  2 N 2.02
Mg 0.0000 0.5000 0.0000  2 N 2.17
Pt 0.5000 0.5000 0.5000  4 Mg 2.86, 8 Mo 2.97
N 0.0000 0.0000 0.0000  4 Mo 2.02, 2 Mg 2.17

***

# 4
First-principles (PBE) data for a relaxed structure of BeHgRh2, as listed in Alexandria.

**E above lowest polymorph**: 0.149 eV/atom
**Magnetic moment**: 0.0 Bohr magnetons per cell
**Energy relative to the elements**: -0.002 eV/atom

abc: 2.8191 2.8191 7.9351
angles: 90.00 90.00 112.76
Closest atoms and distances in Å follow each position.
Sites, in units of the cell vectors:
Be 0.5000 0.5000 0.2500  4 Rh 2.22
Rh 0.0000 0.0000 0.0516  2 Be 2.22
Rh 0.0000 0.0000 0.4484  2 Be 2.22
Hg 0.5000 0.5000 0.7500  6 Hg 2.82-3.12, 4 Rh 2.86